[1]
YMnRh2: optimized geometry, PBE-GGA.

The structure in extended XYZ format:
```
4
Lattice="4.5846 0.0000 0.0000 2.2923 3.9704 0.0000 2.2923 1.3235 3.7433" Properties=species:S:1:pos:R:3 pbc="T T T"
Y 6.8768 3.9704 2.8075
Rh 0.0000 0.0000 0.0000
Rh 2.2923 1.3235 0.9358
Mn 4.5846 2.6469 1.8716
```

Computed properties:
Its total energy is -0.2838 hartree per atom. Its energy of formation from the pure elements is -0.14 eV/atom. Its total magnetization is 4.0 μB/cell.


[2]
YMn4Rh: optimized geometry, PBE-GGA.

The structure in extended XYZ format:
```
6
Lattice="0.0000 3.4936 3.4936 3.4936 0.0000 3.4936 3.4936 3.4936 0.0000" Properties=species:S:1:pos:R:3 pbc="T T T"
Mn 2.6288 2.6288 2.6288
Mn 4.3584 2.6288 4.3584
Mn 2.6288 4.3584 4.3584
Mn 4.3584 4.3584 2.6288
Rh 5.2404 5.2404 5.2404
Y 0.0000 0.0000 0.0000
```

Computed properties:
Its total energy is -0.3038 hartree per atom. Its energy of formation from the pure elements is 0.15 eV/atom. Its total magnetization is 6.1 μB/cell.